Compound: Ni3Rh
Source: Alexandria via LeMat-Bulk
Functional: meta-GGA SCAN
Structure: single point on PBEsol structure

Computed properties:
V = 45 Å³/f.u.
E_form = 0.058 eV per atom
E = -20.514 eV per atom

a b c (Å): 2.558 4.091 4.340
angles (deg): 90.00 90.00 90.00
Sites, in units of the cell vectors:
1 Ni 0.000 0.000 0.000
2 Ni 0.000 0.500 0.329
3 Ni 0.500 0.000 0.488
4 Rh 0.500 0.500 0.829